1.
An optimized crystal structure of NaHg2Pt2. Source: Alexandria, functional GGA-PBEsol.

Properties
Total moment   0.000 μB per atom
DFT formation energy   -0.155 eV per atom
Calculated density   14.2 Mg/m³

Lattice parameters (Å, degrees): 7.9941 7.9941 2.9739 90.00 90.00 90.00
Element x y z (fractional)
Na: 0.0000 0.0000 0.0000
Na: 0.5000 0.5000 0.0000
Hg: 0.1747 0.3253 0.5000
Hg: 0.3253 0.8253 0.5000
Hg: 0.6747 0.1747 0.5000
Hg: 0.8253 0.6747 0.5000
Pt: 0.1227 0.6227 0.0000
Pt: 0.3773 0.1227 0.0000
Pt: 0.6227 0.8773 0.0000
Pt: 0.8773 0.3773 0.0000

---

2.
An optimized crystal structure of KRu2Pt. Source: Alexandria, functional GGA-PBEsol.

Properties
Total moment   0.000 μB per atom
DFT formation energy   1.299 eV per atom
Energy relative to the lowest polymorph listed for this composition   0.000 eV/atom
Calculated density   11.3 Mg/m³

Lattice parameters (Å, degrees): 4.9235 4.9235 4.9235 132.20 132.20 69.92
Element x y z (fractional)
K: 0.0000 0.0000 0.0000
Ru: 0.2500 0.7500 0.5000
Ru: 0.7500 0.2500 0.5000
Pt: 0.5000 0.5000 0.0000

---

3.
An optimized crystal structure of SiTeBr2. Source: Alexandria, functional GGA-PBEsol.

Properties
Total moment   0.000 μB per atom
Formation energy from raw total energies   125 meV per atom
Energy relative to the lowest polymorph listed for this composition   0.260 eV/atom
Calculated density   4.8 Mg/m³

Lattice parameters (Å, degrees): 7.0361 7.0361 7.0361 149.64 141.53 49.78
Element x y z (fractional)
Si: 0.0000 0.0000 0.0000
Te: 0.8369 0.3369 0.5000
Br: 0.3169 0.8169 0.5000
Br: 0.5657 0.5657 0.0000

---

4.
An optimized crystal structure of V4FeCoO12. Source: Alexandria, functional GGA-PBEsol.

Properties
Total moment   0.389 μB per atom
Formation energy from raw total energies   -1992 meV per atom
Calculated density   3.6 Mg/m³

Lattice parameters (Å, degrees): 6.6202 6.6202 5.7129 105.31 105.31 83.83
Element x y z (fractional)
V: 0.0174 0.3901 0.9951
V: 0.2034 0.2034 0.4949
V: 0.6099 0.9826 0.0049
V: 0.7966 0.7966 0.5051
Fe: 0.4895 0.5105 0.0000
Co: 0.3235 0.6765 0.5000
O: 0.0281 0.2496 0.6920
O: 0.0346 0.6834 0.5195
O: 0.0627 0.2162 0.1903
O: 0.2165 0.5606 0.1140
O: 0.3166 0.9654 0.4805
O: 0.3759 0.4021 0.6124
O: 0.4394 0.7835 0.8860
O: 0.4909 0.2199 0.0136
O: 0.5979 0.6241 0.3876
O: 0.7504 0.9719 0.3080
O: 0.7801 0.5091 0.9864
O: 0.7838 0.9373 0.8097

---

5.
An optimized crystal structure of Mg4Zr5. Source: Alexandria, functional GGA-PBEsol.

Properties
Total moment   0.000 μB per atom
DFT formation energy   0.049 eV per atom
Calculated density   4.7 Mg/m³

Lattice parameters (Å, degrees): 7.0173 7.0173 7.0173 95.64 95.64 143.46
Element x y z (fractional)
Mg: 0.0000 0.3355 0.3355
Mg: 0.0000 0.6645 0.6645
Mg: 0.3355 0.0000 0.3355
Mg: 0.6645 0.0000 0.6645
Zr: 0.0000 0.0000 0.0000
Zr: 0.3365 0.3365 0.6731
Zr: 0.3365 0.6635 0.0000
Zr: 0.6635 0.3365 0.0000
Zr: 0.6635 0.6635 0.3269

---

6.
An optimized crystal structure of CrAgOF2. Source: Alexandria, functional GGA-PBEsol.

Properties
Total moment   0.587 μB per atom
Formation energy from raw total energies   -1517 meV per atom
Calculated density   6.0 Mg/m³

Lattice parameters (Å, degrees): 4.0241 4.0241 3.6550 90.00 90.00 90.00
Element x y z (fractional)
Cr: 0.0000 0.0000 0.0000
Ag: 0.5000 0.5000 0.5000
O: 0.0000 0.0000 0.5000
F: 0.0000 0.5000 0.0000
F: 0.5000 0.0000 0.0000

---

7.
An optimized crystal structure of Tl2ZnPb. Source: Alexandria, functional GGA-PBEsol.

Properties
Total moment   0.000 μB per atom
DFT formation energy   0.090 eV per atom
Energy relative to the lowest polymorph listed for this composition   0.000 eV/atom
Calculated density   11.2 Mg/m³

Lattice parameters (Å, degrees): 3.4649 3.4649 8.4384 90.00 90.00 90.00
Element x y z (fractional)
Tl: 0.0000 0.0000 0.0000
Tl: 0.5000 0.5000 0.2844
Zn: 0.0000 0.0000 0.4958
Pb: 0.5000 0.5000 0.7086

---

8.
An optimized crystal structure of InRe2OsO. Source: Alexandria, functional GGA-PBEsol.

Properties
Total moment   1.382 μB per atom
Formation energy from raw total energies   3922 meV per atom
Calculated density   9.9 Mg/m³

Lattice parameters (Å, degrees): 4.9139 4.9139 4.8043 90.00 90.00 90.00
Element x y z (fractional)
In: 0.0000 0.0000 0.0000
Re: 0.0000 0.5000 0.0000
Re: 0.5000 0.0000 0.0000
Os: 0.0000 0.0000 0.5000
O: 0.5000 0.5000 0.5000

---

9.
An optimized crystal structure of Ta2CrRh. Source: Alexandria, functional GGA-PBEsol.

Properties
Total moment   0.000 μB per atom
DFT formation energy   -0.262 eV per atom
Calculated density   14.4 Mg/m³

Lattice parameters (Å, degrees): 3.0906 3.0906 6.2470 90.00 90.00 90.00
Element x y z (fractional)
Ta: 0.0000 0.0000 0.2348
Ta: 0.0000 0.0000 0.7652
Cr: 0.5000 0.5000 0.0000
Rh: 0.5000 0.5000 0.5000

---

10.
An optimized crystal structure of Mg2ZrHg. Source: Alexandria, functional GGA-PBEsol.

Properties
Total moment   0.000 μB per atom
DFT formation energy   -0.127 eV per atom
Calculated density   6.7 Mg/m³

Lattice parameters (Å, degrees): 3.0693 4.6070 6.1615 90.00 104.52 90.00
Element x y z (fractional)
Mg: 0.0000 0.0000 0.0000
Mg: 0.3901 0.5000 0.7766
Zr: 0.6458 0.5000 0.2931
Hg: 0.2501 0.0000 0.5015

---

11.
An optimized crystal structure of La2ScCr. Source: Alexandria, functional GGA-PBEsol.

Properties
Total moment   0.670 μB per atom
DFT formation energy   0.429 eV per atom
Energy relative to the lowest polymorph listed for this composition   0.109 eV/atom
Calculated density   6.0 Mg/m³

Lattice parameters (Å, degrees): 5.8973 5.8973 5.8973 134.44 134.44 66.40
Element x y z (fractional)
La: 0.0000 0.0000 0.0000
La: 0.7500 0.2500 0.5000
Sc: 0.5000 0.5000 0.0000
Cr: 0.2500 0.7500 0.5000

---

12.
An optimized crystal structure of AlSnC2. Source: Alexandria, functional GGA-PBEsol.

Properties
Total moment   0.000 μB per atom
DFT formation energy   1.795 eV per atom
Calculated density   5.9 Mg/m³

Lattice parameters (Å, degrees): 4.0761 4.0761 4.0761 60.00 60.00 60.00
Element x y z (fractional)
Al: 0.0000 0.0000 0.0000
Sn: 0.5000 0.5000 0.5000
C: 0.2500 0.2500 0.2500
C: 0.7500 0.7500 0.7500